An optimized crystal structure of Rb2NpCuBr6. Source: the Alexandria database, functional GGA-PBE.

Cell: 7.830 7.830 6.633 Å, 90.00 90.00 120.00°
Fractional coordinates of all 10 atoms:
Rb  0.333  0.667  0.219
Rb  0.667  0.333  0.781
Np  0.000  0.000  0.500
Cu  0.000  0.000  0.000
Br  0.167  0.334  0.765
Br  0.167  0.833  0.765
Br  0.334  0.167  0.235
Br  0.666  0.833  0.765
Br  0.833  0.167  0.235
Br  0.833  0.666  0.235

Summary:
The space-group type is P-3m1 (164). The calculation puts the calculated total energy at -4.165 eV per atom. For the volume, the calculation gives 35.22 Å³/atom. The formation energy (no corrections) comes out at -1.2641 eV per atom.